Entry 1:
Computed, not measured: FeRe2W after structural relaxation at the PBE level of DFT.

Geometry as extended XYZ:
```
4
Lattice="4.7059 -0.0057 -0.0020 3.9038 2.6279 -0.0020 0.7958 0.2424 4.6659" Properties=species:S:1:pos:R:3 pbc="T T T"
Fe 2.3755 0.7235 1.1550
Re 8.5687 2.6097 0.0159
Re 7.0398 2.1440 3.5438
W 4.7343 1.4419 2.2741
```

Properties
* calculated total energy: -11.405 eV/atom
* energy relative to the elements: 173 meV per atom
* space group: Cm
* Fermi-level density of states: 0.905 states/eV/atom



Entry 2:
Computed, not measured: FeReW after structural relaxation at the PBE level of DFT.

Geometry as extended XYZ:
```
3
Lattice="4.9694 0.0118 0.0000 2.9995 3.9621 0.0000 -3.9845 -1.9870 2.2071" Properties=species:S:1:pos:R:3 pbc="T T T"
Fe 7.9647 3.9718 0.0000
Re 5.3094 2.6476 0.0000
W 2.6639 1.3284 0.0000
```

Properties
* polymorph energy (0 for the lowest one): 85 meV/atom
* calculated total energy: -11.161 eV/atom
* energy relative to the elements: 127 meV per atom
* space group: I4mm
* Fermi-level density of states: 0.687 states/eV/atom



Entry 3:
Computed, not measured: Fe2ReW after structural relaxation at the PBE level of DFT.

Geometry as extended XYZ:
```
4
Lattice="2.6966 0.0000 0.0000 0.0000 3.6624 0.0000 0.0000 0.0000 5.4041" Properties=species:S:1:pos:R:3 pbc="T T T"
Fe 0.0000 0.0000 0.0717
Fe 1.3483 1.8312 1.3300
Re 0.0000 0.0000 2.5412
W 1.3483 1.8312 4.1633
```

Properties
* calculated total energy: -10.412 eV/atom
* energy relative to the elements: 170 meV per atom
* space group: Pmm2
* Fermi-level density of states: 1.021 states/eV/atom



Entry 4:
Computed, not measured: FeRe2W after structural relaxation at the PBE level of DFT.

Geometry as extended XYZ:
```
4
Lattice="2.6808 0.0085 0.0000 -0.8556 2.5406 0.0000 0.0000 0.0000 8.6107" Properties=species:S:1:pos:R:3 pbc="T T T"
Fe 0.9126 1.2745 6.4581
Re 0.0000 0.0000 8.5237
Re 0.0000 0.0000 4.3924
W 0.9126 1.2745 2.1527
```

Properties
* calculated total energy: -11.428 eV/atom
* energy relative to the elements: 150 meV per atom
* space group: Cmmm
* Fermi-level density of states: 0.854 states/eV/atom



Entry 5:
Computed, not measured: FeRe2W after structural relaxation at the PBE level of DFT.

Geometry as extended XYZ:
```
8
Lattice="-0.5193 -3.1085 -1.9595 0.2604 -2.0051 3.1119 -9.2750 -1.8133 1.8205" Properties=species:S:1:pos:R:3 pbc="T T T"
Re -2.5920 -2.5346 -0.3099
Re -2.2397 -2.2073 2.0844
Re -7.0440 -3.3500 1.9098
Re -7.1923 -5.7621 2.2614
Fe -0.1295 -2.5568 0.5762
Fe -4.5721 -3.1877 2.7543
W 0.0000 0.0000 0.0000
W -4.9619 -3.7394 0.2186
```

Properties
* calculated total energy: -10.677 eV/atom
* energy relative to the elements: 901 meV per atom
* space group: I-42d
* Fermi-level density of states: 1.428 states/eV/atom



Entry 6:
Computed, not measured: FeReW after structural relaxation at the PBE level of DFT.

Geometry as extended XYZ:
```
3
Lattice="4.3575 0.0000 0.0000 -2.1788 3.7737 0.0000 0.0000 0.0000 2.6554" Properties=species:S:1:pos:R:3 pbc="T T T"
Re 2.1788 1.2579 0.8959
Fe 0.0000 0.0000 2.6502
W 0.0000 2.5158 1.7647
```

Properties
* polymorph energy (0 for the lowest one): 29 meV/atom
* calculated total energy: -11.217 eV/atom
* energy relative to the elements: 71 meV per atom
* space group: P3m1
* Fermi-level density of states: 0.559 states/eV/atom



Entry 7:
Computed, not measured: Fe2ReW after structural relaxation at the PBE level of DFT.

Geometry as extended XYZ:
```
4
Lattice="4.5294 0.0207 0.0000 1.3671 4.3182 0.0000 -2.9483 -2.1695 2.6678" Properties=species:S:1:pos:R:3 pbc="T T T"
Fe 0.0000 0.0000 0.0000
Fe 2.9483 2.1695 0.0000
Re 0.6836 2.1591 1.3339
W 2.2647 0.0104 1.3339
```

Properties
* calculated total energy: -10.483 eV/atom
* energy relative to the elements: 98 meV per atom
* space group: I4/mmm
* Fermi-level density of states: 1.007 states/eV/atom



Entry 8:
Computed, not measured: FeReW after structural relaxation at the PBE level of DFT.

Geometry as extended XYZ:
```
3
Lattice="-2.1924 0.6074 1.5117 0.5269 -2.5977 -0.6597 3.6406 -0.6708 5.5494" Properties=species:S:1:pos:R:3 pbc="T T T"
Fe 0.0257 -0.0047 0.0391
Re -0.1401 -0.6721 2.5345
W 2.0896 -1.9842 3.8278
```

Properties
* polymorph energy (0 for the lowest one): 212 meV/atom
* calculated total energy: -11.034 eV/atom
* energy relative to the elements: 254 meV per atom
* space group: P3m1
* Fermi-level density of states: 1.127 states/eV/atom